## LiMn2Tl (PBE)

Data for crystalline LiMn2Tl at its relaxed geometry.

Summary:
Fermi-level density of states in states/eV per cell: 9.32
Energy in eV per cell: -39.233
Total magnetization in μB per formula unit: 1.2

abc: 9.806 9.806 9.806
angles: 158.98 158.98 29.90
Fractional positions:
Li: 0.000 0.000 0.000
Li: 0.750 0.250 0.500
Mn: 0.048 0.625 0.923
Mn: 0.375 0.298 0.423
Mn: 0.702 0.125 0.077
Mn: 0.875 0.952 0.577
Tl: 0.250 0.750 0.500
Tl: 0.500 0.500 0.000



## LiMn2Tl (PBE)

Data for crystalline LiMn2Tl at its relaxed geometry.

Summary:
Fermi-level density of states in states/eV per cell: 2.59
Energy in eV per cell: -21.688
Total magnetization in μB per formula unit: 0.5

abc: 3.213 3.213 6.410
angles: 90.00 90.00 90.00
Fractional positions:
Li: 0.000 0.000 0.000
Mn: 0.000 0.000 0.434
Mn: 0.500 0.500 0.261
Tl: 0.500 0.500 0.736



## LiMnTlZn (PBE)

Data for crystalline LiMnTlZn at its relaxed geometry.

Summary:
Fermi-level density of states in states/eV per cell: 1.09
Energy in eV per cell: -14.457
Total magnetization in μB per formula unit: 3.6

abc: 4.591 4.591 4.591
angles: 60.00 60.00 60.00
Fractional positions:
Li: 0.000 0.000 0.000
Mn: 0.500 0.500 0.500
Tl: 0.750 0.750 0.750
Zn: 0.250 0.250 0.250